No. 1
Below is a relaxed LaH3Ir crystal, with properties calculated at the PBE level.

Computed properties:
The value obtained for the calculated total energy is -5.274 eV/atom. The size of the total moment comes out at 0.0 μB/f.u. The space group is P2_1/c, No. 14. The calculation puts the density of states at the Fermi level at 0.031 states/eV per atom.

abc: 6.6145 5.7269 8.3686
angles: 90.00 128.28 90.00
With the nearest neighbours (Å) after each atom.
Positions (direct):
La1 0.2484 0.2471 0.2518  8 H 2.45-2.64
La2 0.2484 0.2529 0.7518  8 H 2.45-2.64
La3 0.7516 0.7471 0.2482  8 H 2.45-2.64
La4 0.7516 0.7529 0.7482  8 H 2.45-2.64
H1 0.0424 0.1241 0.4017  1 Ir 1.68
H2 0.0424 0.3759 0.9017  1 Ir 1.68
H3 0.2523 0.7232 0.4590  1 Ir 1.74
H4 0.2523 0.7768 0.9590  1 Ir 1.74
H5 0.4565 0.1251 0.6060  1 Ir 1.68
H6 0.4565 0.3749 0.1060  1 Ir 1.68
H7 0.5435 0.6251 0.8940  1 Ir 1.68
H8 0.5435 0.8749 0.3940  1 Ir 1.68
H9 0.7477 0.2232 0.0410  1 Ir 1.74
H10 0.7477 0.2768 0.5410  1 Ir 1.74
H11 0.9576 0.6241 0.0983  1 Ir 1.68
H12 0.9576 0.8759 0.5983  1 Ir 1.68
Ir1 0.2505 0.7492 0.2505  3 H 1.68-1.74
Ir2 0.2505 0.7508 0.7505  3 H 1.68-1.74
Ir3 0.7495 0.2492 0.2495  3 H 1.68-1.74
Ir4 0.7495 0.2508 0.7495  3 H 1.68-1.74


No. 2
Below is a relaxed VZnAs crystal, with properties calculated at the PBE level.

Computed properties:
The value obtained for the calculated total energy is -5.161 eV/atom. The size of the total moment comes out at 0.0 μB/f.u. The formation energy comes out at -147 meV/atom. The space group is C2/m, No. 12. The calculation puts the density of states at the Fermi level at 0.390 states/eV per atom.

abc: 5.5755 5.5755 6.7651
angles: 109.77 109.77 28.70
With the nearest neighbours (Å) after each atom.
Positions (direct):
V1 0.1170 0.1170 0.4838  3 As 2.52-2.60, 3 V 2.61-2.76, 4 Zn 2.68-2.72
V2 0.8830 0.8830 0.5162  3 As 2.52-2.60, 3 V 2.61-2.76, 4 Zn 2.68-2.72
Zn1 0.4165 0.4165 0.1987  2 As 2.53-2.77, 4 V 2.68-2.72, 2 Zn 2.76
Zn2 0.5835 0.5835 0.8013  2 As 2.53-2.77, 4 V 2.68-2.72, 2 Zn 2.76
As1 0.3270 0.3270 0.7999  3 V 2.52-2.60, 2 Zn 2.53-2.77, 2 As 2.76
As2 0.6730 0.6730 0.2001  3 V 2.52-2.60, 2 Zn 2.53-2.77, 2 As 2.76


No. 3
Below is a relaxed ZrMnS2 crystal, with properties calculated at the PBE level.

Computed properties:
The formation energy (no corrections) comes out at -0.807 eV/atom. The value obtained for the calculated total energy is -7.300 eV/atom. The size of the total moment comes out at 3.0 μB/f.u. The space group is Fm-3m, No. 225. The calculation puts the density of states at the Fermi level at 0.018 states/eV per atom.

abc: 4.4706 4.4706 4.4706
angles: 60.00 60.00 60.00
With the nearest neighbours (Å) after each atom.
Positions (direct):
Zr1 0.0000 0.0000 0.0000  8 S 2.74
Mn1 0.5000 0.5000 0.5000  8 S 2.74
S1 0.2500 0.2500 0.2500  4 Zr 2.74, 4 Mn 2.74
S2 0.7500 0.7500 0.7500  4 Zr 2.74, 4 Mn 2.74


No. 4
Below is a relaxed SiS2N crystal, with properties calculated at the PBE level.

Computed properties:
The formation energy (no corrections) comes out at 1.044 eV/atom. The value obtained for the calculated total energy is -4.457 eV/atom. The size of the total moment comes out at 0.0 μB/f.u. The space group is I-42d, No. 122. The calculation puts the density of states at the Fermi level at 0.772 states/eV per atom.

abc: 5.4855 5.4855 5.4855
angles: 116.69 116.69 95.83
With the nearest neighbours (Å) after each atom.
Positions (direct):
Si1 0.0000 0.0000 0.0000  4 S 2.25
Si2 0.7500 0.2500 0.5000  4 S 2.25
S1 0.1303 0.6250 0.0053  2 N 2.21, 2 Si 2.25
S2 0.3750 0.3803 0.5053  2 N 2.21, 2 Si 2.25
S3 0.6197 0.1250 0.9947  2 N 2.21, 2 Si 2.25
S4 0.8750 0.8697 0.4947  2 N 2.21, 2 Si 2.25
N1 0.2500 0.7500 0.5000  4 S 2.21
N2 0.5000 0.5000 0.0000  4 S 2.21


> Among the records above, which one has the lowest calculated total energy?

ZrMnS2